# 1
! LiZn2Rh (GGA-PBE, relaxed); values from VASP
&SYSTEM
  ibrav = 0, nat = 4, ntyp = 3
/
ATOMIC_SPECIES
Li 6.94 Li.upf
Zn 65.41 Zn.upf
Rh 102.91 Rh.upf
ATOMIC_POSITIONS angstrom
Li 0.000 0.000 0.000
Zn 1.508 1.508 1.508
Zn 4.525 4.525 4.525
Rh 3.017 3.017 3.017
CELL_PARAMETERS angstrom
0.000 3.017 3.017
3.017 0.000 3.017
3.017 3.017 0.000
! formation energy	-0.411	eV/atom
! offset from the most stable computed form	0	meV per atom
! magnetization	0.000	μB/cell
! V	13.7	Å³/atom


# 2
! NiPd (GGA-PBE, relaxed); values from VASP
&SYSTEM
  ibrav = 0, nat = 2, ntyp = 2
/
ATOMIC_SPECIES
Ni 58.69 Ni.upf
Pd 106.42 Pd.upf
ATOMIC_POSITIONS angstrom
Ni 0.000 0.000 0.000
Pd 0.000 0.000 6.338
CELL_PARAMETERS angstrom
1.356 0.783 4.226
-1.356 0.783 4.226
0.000 -1.566 4.226
! formation energy	0.076	eV/atom
! magnetization	1.229	μB/cell
! V	13.5	Å³/atom


# 3
! La2PtAu (GGA-PBE, relaxed); values from VASP
&SYSTEM
  ibrav = 0, nat = 8, ntyp = 3
/
ATOMIC_SPECIES
La 138.91 La.upf
Pt 195.08 Pt.upf
Au 196.97 Au.upf
ATOMIC_POSITIONS angstrom
La 0.143 1.163 3.290
La -1.142 1.163 6.943
La 4.482 3.488 0.563
La 3.198 3.488 4.216
Pt -0.047 3.488 5.293
Pt 3.387 1.163 2.213
Au 1.381 3.488 1.550
Au 1.959 1.163 5.956
CELL_PARAMETERS angstrom
6.122 0.000 0.000
0.000 4.651 0.000
-2.781 0.000 7.506
! formation energy	-1.015	eV/atom
! magnetization	0.000	μB/cell
! V	26.7	Å³/atom


# 4
! Ce2PmGaGe2 (GGA-PBE, relaxed); values from VASP
&SYSTEM
  ibrav = 0, nat = 6, ntyp = 4
/
ATOMIC_SPECIES
Ce 140.12 Ce.upf
Pm 145.00 Pm.upf
Ga 69.72 Ga.upf
Ge 72.64 Ge.upf
ATOMIC_POSITIONS angstrom
Ce 2.941 0.000 2.613
Ce 0.000 2.941 2.613
Pm 0.000 0.000 0.000
Ga 0.000 0.000 5.226
Ge 0.000 0.000 2.780
Ge 0.000 0.000 7.673
CELL_PARAMETERS angstrom
-2.941 2.941 5.226
2.941 -2.941 5.226
2.941 2.941 -5.226
! formation energy	-0.181	eV/atom
! magnetization	1.746	μB/cell
! V	30.1	Å³/atom


# 5
! Y8C3N2 (GGA-PBE, relaxed); values from VASP
&SYSTEM
  ibrav = 0, nat = 13, ntyp = 3
/
ATOMIC_SPECIES
Y 88.91 Y.upf
C 12.01 C.upf
N 14.01 N.upf
ATOMIC_POSITIONS angstrom
Y 4.399 1.816 0.983
Y 1.286 0.000 2.026
Y 7.389 1.816 5.182
Y 4.520 0.000 4.117
Y 7.268 0.000 2.048
Y 4.399 -1.816 0.983
Y 10.503 0.000 4.139
Y 7.389 -1.816 5.182
C 0.000 0.000 0.000
C 5.894 1.754 3.083
C 5.894 -1.754 3.083
N 3.040 0.000 6.013
N 8.749 0.000 0.152
CELL_PARAMETERS angstrom
5.961 -3.497 0.000
5.961 3.497 0.000
-0.134 0.000 6.165
! magnetization	0.000	μB/cell
! formation energy (no corrections)	-0.58	eV per atom
! V	19.8	Å³/atom


# 6
! La2TaCo3Ni12 (GGA-PBE, relaxed); values from VASP
&SYSTEM
  ibrav = 0, nat = 18, ntyp = 4
/
ATOMIC_SPECIES
La 138.91 La.upf
Ta 180.95 Ta.upf
Co 58.93 Co.upf
Ni 58.69 Ni.upf
ATOMIC_POSITIONS angstrom
La 0.000 0.000 2.757
La 0.000 0.000 9.473
Ta 0.000 0.000 6.115
Co -2.093 -1.209 4.077
Co -2.093 1.209 8.153
Co 0.000 2.417 4.077
Ni 0.000 -2.721 3.311
Ni -2.356 1.360 3.311
Ni -2.006 -1.158 6.633
Ni 0.000 -2.316 5.597
Ni -2.006 1.158 5.597
Ni -2.356 -1.360 8.919
Ni 2.356 1.360 3.311
Ni 2.006 -1.158 6.633
Ni 0.000 2.316 6.633
Ni 2.006 1.158 5.597
Ni 2.356 -1.360 8.919
Ni 0.000 2.721 8.919
CELL_PARAMETERS angstrom
4.186 2.417 4.077
-4.186 2.417 4.077
0.000 -4.834 4.077
! formation energy	0.109	eV/atom
! magnetization	5.597	μB/cell
! V	13.8	Å³/atom


# 7
! ThCuHg (GGA-PBE, relaxed); values from VASP
&SYSTEM
  ibrav = 0, nat = 3, ntyp = 3
/
ATOMIC_SPECIES
Th 232.04 Th.upf
Cu 63.55 Cu.upf
Hg 200.59 Hg.upf
ATOMIC_POSITIONS angstrom
Th 0.000 0.000 0.000
Cu 2.383 1.376 1.724
Hg 0.000 2.752 1.724
CELL_PARAMETERS angstrom
4.767 0.000 0.000
-2.383 4.128 0.000
0.000 0.000 3.447
! formation energy	-0.200	eV/atom
! magnetization	0.000	μB/cell
! V	22.6	Å³/atom


# 8
! Ca3Al2Zn7 (GGA-PBE, relaxed); values from VASP
&SYSTEM
  ibrav = 0, nat = 12, ntyp = 3
/
ATOMIC_SPECIES
Ca 40.08 Ca.upf
Al 26.98 Al.upf
Zn 65.41 Zn.upf
ATOMIC_POSITIONS angstrom
Ca 0.000 0.000 0.000
Ca 0.000 0.000 3.673
Ca 0.000 0.000 22.177
Al 0.000 0.000 8.640
Al 0.000 0.000 17.210
Zn -1.411 -0.814 10.750
Zn 0.000 -1.629 15.100
Zn -1.411 0.814 15.100
Zn 0.000 0.000 12.925
Zn 1.411 -0.814 10.750
Zn 0.000 1.629 10.750
Zn 1.411 0.814 15.100
CELL_PARAMETERS angstrom
2.782 1.606 8.617
-2.782 1.606 8.617
0.000 -3.212 8.617
! formation energy	-0.253	eV/atom
! magnetization	0.000	μB/cell
! V	19.3	Å³/atom


# 9
! Pa2IO8 (GGA-PBE, relaxed); values from VASP
&SYSTEM
  ibrav = 0, nat = 11, ntyp = 3
/
ATOMIC_SPECIES
Pa 231.04 Pa.upf
I 126.90 I.upf
O 16.00 O.upf
ATOMIC_POSITIONS angstrom
Pa 0.000 0.000 0.000
Pa 5.848 0.000 1.352
I 2.170 0.000 2.905
O 1.251 1.353 1.723
O 0.535 0.000 3.965
O 3.091 1.353 4.086
O 1.251 -1.353 1.723
O 3.806 0.000 1.847
O 3.091 -1.353 4.086
O 5.829 0.000 3.833
O 7.848 0.000 1.987
CELL_PARAMETERS angstrom
4.670 -3.579 0.000
4.670 3.579 0.000
-1.507 0.000 4.455
! magnetization	0.000	μB/cell
! formation energy (no corrections)	-2.28	eV per atom
! V	13.5	Å³/atom


# 10
! NbB2CF (GGA-PBE, relaxed); values from VASP
&SYSTEM
  ibrav = 0, nat = 5, ntyp = 4
/
ATOMIC_SPECIES
Nb 92.91 Nb.upf
B 10.81 B.upf
C 12.01 C.upf
F 19.00 F.upf
ATOMIC_POSITIONS angstrom
Nb 0.000 0.000 0.000
B 0.000 2.261 0.000
B 2.261 0.000 0.000
C 0.000 0.000 2.008
F 2.261 2.261 2.008
CELL_PARAMETERS angstrom
4.521 0.000 0.000
0.000 4.521 0.000
0.000 0.000 4.017
! magnetization	0.441	μB/cell
! formation energy (no corrections)	1.72	eV per atom
! V	16.4	Å³/atom


# 11
! ScInCl2 (GGA-PBE, relaxed); values from VASP
&SYSTEM
  ibrav = 0, nat = 4, ntyp = 3
/
ATOMIC_SPECIES
Sc 44.96 Sc.upf
In 114.82 In.upf
Cl 35.45 Cl.upf
ATOMIC_POSITIONS angstrom
Sc 0.000 0.000 0.000
In 1.641 0.000 2.729
Cl -1.320 1.730 4.522
Cl 4.603 1.730 0.935
CELL_PARAMETERS angstrom
6.155 0.000 0.000
0.000 3.461 0.000
-2.872 0.000 5.457
! offset from the most stable computed form	110	meV per atom
! magnetization	0.000	μB/cell
! formation energy (no corrections)	-1.16	eV per atom
! V	29.1	Å³/atom


# 12
! AcCe2ReO8 (GGA-PBE, relaxed); values from VASP
&SYSTEM
  ibrav = 0, nat = 12, ntyp = 4
/
ATOMIC_SPECIES
Ac 227.00 Ac.upf
Ce 140.12 Ce.upf
Re 186.21 Re.upf
O 16.00 O.upf
ATOMIC_POSITIONS angstrom
Ac 0.000 0.000 0.000
Ce 2.537 1.837 2.581
Ce 2.537 5.276 2.581
Re 0.000 3.557 0.000
O 0.950 2.136 0.973
O 0.950 4.977 0.973
O 1.316 3.557 3.788
O 1.631 0.000 3.485
O 3.443 0.000 1.678
O 3.758 3.557 1.375
O 4.125 2.136 4.190
O 4.125 4.977 4.190
CELL_PARAMETERS angstrom
5.160 0.000 0.000
0.000 7.113 0.000
-0.086 0.000 5.163
! magnetization	2.069	μB/cell
! formation energy (no corrections)	-2.76	eV per atom
! V	15.8	Å³/atom